Below is Ta2SiW after structural relaxation, with properties calculated at the PBE-GGA level.

Properties
The calculation puts the total energy at -10.5814 eV/atom. The calculation puts the density of states at the Fermi level at 1.577 states/eV per cell. The formation energy (no corrections) comes out at -0.061 eV/atom. Its crystal system is monoclinic.

Cell lengths 2.8467, 4.5658, 5.1681 Å; angles 90.00, 98.67, 90.00 degrees
With the nearest neighbours (Å) after each atom.
Space group Pm (No. 6)
Symmetry-distinct sites (fractional):
Ta 0.0000 0.0000 0.0000 x1  3 Si 2.68-2.90, 2 W 2.72, 4 Ta 2.85-2.87
Ta 0.2563 0.5000 0.7145 x1  2 W 2.70-2.82, 4 Ta 2.85-2.87, 4 Si 2.87-2.99
Si 0.6500 0.0000 0.4891 x1  7 Ta 2.68-2.99, 2 W 2.71, 2 Si 2.85
W 0.7034 0.5000 0.2135 x1  4 Ta 2.70-2.82, 2 Si 2.71, 2 W 2.85